1.
MnHS3 after structural relaxation. Source: the Alexandria database, functional GGA-PBE.

## Properties
Polymorph energy (0 for the lowest one) (meV per atom): 0.0
Symmetry: Pm-3m (221)
Electronic total energy (eV for the cell shown): -20.92

Unit cell a=4.411 b=4.411 c=4.411 alpha=90.00 beta=90.00 gamma=90.00
Fractional coordinates of all 5 atoms:
S  0.000  0.000  0.500
S  0.000  0.500  0.000
S  0.500  0.000  0.000
H  0.500  0.500  0.500
Mn  0.000  0.000  0.000


2.
KTa2Ru after structural relaxation. Source: the Alexandria database, functional GGA-PBE.

## Properties
Polymorph energy (0 for the lowest one) (meV per atom): 1007.3
Energy of formation (eV per atom): 1.49
Symmetry: P4/mmm (123)
Electronic total energy (eV for the cell shown): -28.10

Unit cell a=4.160 b=4.308 c=4.308 alpha=90.00 beta=90.00 gamma=90.00
Fractional coordinates of all 4 atoms:
K  0.500  0.500  0.000
Ru  0.500  0.000  0.500
Ta  0.000  0.000  0.000
Ta  0.000  0.500  0.500


3.
CsTlPb after structural relaxation. Source: the Alexandria database, functional GGA-PBE.

## Properties
Energy of formation (eV per atom): -0.13
Symmetry: Pnma (62)
Electronic total energy (eV for the cell shown): -29.25

Unit cell a=9.586 b=5.617 c=8.953 alpha=90.00 beta=90.00 gamma=90.00
Fractional coordinates of all 12 atoms:
Cs  0.001  0.250  0.830
Cs  0.499  0.750  0.330
Cs  0.501  0.250  0.670
Cs  0.999  0.750  0.170
Pb  0.838  0.750  0.591
Pb  0.338  0.750  0.909
Pb  0.162  0.250  0.409
Pb  0.662  0.250  0.091
Tl  0.670  0.750  0.907
Tl  0.830  0.250  0.407
Tl  0.330  0.250  0.093
Tl  0.170  0.750  0.593


4.
RbCu2Si2 after structural relaxation. Source: the Alexandria database, functional GGA-PBE.

## Properties
Polymorph energy (0 for the lowest one) (meV per atom): 39.0
E_form (uncorrected) (eV per atom): 0.183
Symmetry: I4/mmm (139)
Electronic total energy (eV for the cell shown): -19.09

Unit cell a=4.269 b=4.269 c=6.979 alpha=72.19 beta=72.19 gamma=90.00
Fractional coordinates of all 5 atoms:
Si  0.750  0.250  0.500
Si  0.250  0.750  0.500
Cu  0.330  0.330  0.339
Cu  0.670  0.670  0.661
Rb  0.000  0.000  0.000


5.
Ac2InPt after structural relaxation. Source: the Alexandria database, functional GGA-PBE.

## Properties
Energy of formation (eV per atom): -0.70
Symmetry: Pnma (62)
Electronic total energy (eV for the cell shown): -79.21

Unit cell a=5.893 b=7.516 c=12.372 alpha=90.00 beta=90.00 gamma=90.00
Fractional coordinates of all 16 atoms:
Ac  0.750  0.309  0.050
Ac  0.750  0.965  0.768
Ac  0.250  0.191  0.550
Ac  0.250  0.035  0.232
Ac  0.250  0.535  0.268
Ac  0.750  0.809  0.450
Ac  0.250  0.691  0.950
Ac  0.750  0.465  0.732
In  0.750  0.796  0.160
In  0.750  0.296  0.340
In  0.250  0.704  0.660
In  0.250  0.204  0.840
Pt  0.750  0.686  0.947
Pt  0.750  0.186  0.553
Pt  0.250  0.814  0.447
Pt  0.250  0.314  0.053


6.
Cs4ThTe4 after structural relaxation. Source: the Alexandria database, functional GGA-PBE.

## Properties
Polymorph energy (0 for the lowest one) (meV per atom): 0.0
E_form (uncorrected) (eV per atom): -1.115
Symmetry: C2/m (12)
Electronic total energy (eV for the cell shown): -33.43

Unit cell a=4.955 b=9.352 c=11.440 alpha=76.07 beta=77.49 gamma=74.64
Fractional coordinates of all 9 atoms:
Cs  0.876  0.843  0.406
Cs  0.124  0.157  0.594
Cs  0.298  0.575  0.829
Cs  0.702  0.425  0.171
Te  0.680  0.889  0.750
Te  0.933  0.225  0.908
Te  0.067  0.775  0.092
Te  0.320  0.111  0.250
Th  0.500  0.000  0.000


7.
AlCrFe14 after structural relaxation. Source: the Alexandria database, functional GGA-PBE.

## Properties
Energy of formation (eV per atom): -0.04
Symmetry: P4/mmm (123)
Electronic total energy (eV for the cell shown): -132.54

Unit cell a=5.705 b=5.705 c=5.683 alpha=90.00 beta=90.00 gamma=90.00
Fractional coordinates of all 16 atoms:
Fe  0.375  0.375  0.000
Fe  0.628  0.628  0.248
Fe  0.628  0.628  0.752
Fe  0.628  0.122  0.248
Fe  0.122  0.628  0.248
Fe  0.375  0.875  0.500
Fe  0.628  0.122  0.752
Fe  0.122  0.122  0.248
Fe  0.122  0.122  0.752
Fe  0.375  0.875  0.000
Fe  0.875  0.875  0.000
Fe  0.875  0.375  0.500
Fe  0.875  0.375  0.000
Fe  0.122  0.628  0.752
Cr  0.875  0.875  0.500
Al  0.375  0.375  0.500


8.
Ag3Sn2Hg2 after structural relaxation. Source: the Alexandria database, functional GGA-PBE.

## Properties
Energy of formation (eV per atom): 0.08
Symmetry: C2/m (12)
Electronic total energy (eV for the cell shown): -16.64

Unit cell a=4.654 b=6.621 c=5.652 alpha=100.13 beta=114.31 gamma=90.00
Fractional coordinates of all 7 atoms:
Hg  0.839  0.590  0.679
Hg  0.161  0.410  0.321
Ag  0.738  0.140  0.476
Ag  0.000  0.000  0.000
Ag  0.262  0.860  0.524
Sn  0.552  0.745  0.105
Sn  0.448  0.255  0.895


9.
LiCaSnAs2 after structural relaxation. Source: the Alexandria database, functional GGA-PBE.

## Properties
Energy of formation (eV per atom): -0.56
Symmetry: C2/m (12)
Electronic total energy (eV for the cell shown): -40.07

Unit cell a=4.263 b=7.716 c=8.546 alpha=96.10 beta=90.00 gamma=106.04
Fractional coordinates of all 10 atoms:
Li  0.316  0.631  0.942
Li  0.684  0.369  0.058
As  0.345  0.690  0.651
As  0.133  0.265  0.906
As  0.867  0.735  0.094
As  0.655  0.310  0.349
Sn  0.061  0.122  0.196
Sn  0.939  0.878  0.804
Ca  0.690  0.381  0.693
Ca  0.310  0.619  0.307


10.
ZrCrSi2 after structural relaxation. Source: the Alexandria database, functional GGA-PBE.

## Properties
Polymorph energy (0 for the lowest one) (meV per atom): 0.0
E_form (uncorrected) (eV per atom): -0.628
Symmetry: Pbam (55)
Electronic total energy (eV for the cell shown): -378.34

Unit cell a=8.016 b=9.129 c=9.810 alpha=90.00 beta=90.00 gamma=90.00
Fractional coordinates of all 48 atoms:
Zr  0.500  0.670  0.820
Zr  0.253  0.828  0.048
Zr  0.253  0.672  0.548
Zr  0.747  0.828  0.048
Zr  0.253  0.328  0.452
Zr  0.253  0.172  0.952
Zr  0.747  0.672  0.548
Zr  0.500  0.330  0.180
Zr  0.747  0.172  0.952
Zr  0.500  0.830  0.320
Zr  0.500  0.170  0.680
Zr  0.747  0.328  0.452
Si  0.500  0.539  0.379
Si  0.851  0.329  0.181
Si  0.000  0.959  0.875
Si  0.149  0.829  0.319
Si  0.851  0.171  0.681
Si  0.500  0.376  0.896
Si  0.000  0.541  0.375
Si  0.000  0.609  0.099
Si  0.500  0.039  0.121
Si  0.000  0.459  0.625
Si  0.149  0.171  0.681
Si  0.000  0.109  0.401
Si  0.500  0.961  0.879
Si  0.851  0.671  0.819
Si  0.000  0.891  0.599
Si  0.149  0.329  0.181
Si  0.500  0.124  0.396
Si  0.500  0.461  0.621
Si  0.149  0.671  0.819
Si  0.500  0.876  0.604
Si  0.000  0.391  0.901
Si  0.500  0.624  0.104
Si  0.000  0.041  0.125
Si  0.851  0.829  0.319
Cr  0.749  0.421  0.754
Cr  0.749  0.579  0.246
Cr  0.251  0.079  0.254
Cr  0.251  0.579  0.246
Cr  0.745  0.000  0.500
Cr  0.255  0.500  0.000
Cr  0.749  0.079  0.254
Cr  0.251  0.921  0.746
Cr  0.749  0.921  0.746
Cr  0.745  0.500  0.000
Cr  0.255  0.000  0.500
Cr  0.251  0.421  0.754


11.
LiZn3As after structural relaxation. Source: the Alexandria database, functional GGA-PBE.

## Properties
Polymorph energy (0 for the lowest one) (meV per atom): 0.0
Energy of formation (eV per atom): 0.35
Symmetry: Pm-3m (221)
Electronic total energy (eV for the cell shown): -8.66

Unit cell a=4.993 b=4.993 c=4.993 alpha=90.00 beta=90.00 gamma=90.00
Fractional coordinates of all 5 atoms:
Zn  0.000  0.000  0.500
Zn  0.500  0.000  0.000
Zn  0.000  0.500  0.000
As  0.000  0.000  0.000
Li  0.500  0.500  0.500


12.
SrScAlPd2 after structural relaxation. Source: the Alexandria database, functional GGA-PBE.

## Properties
Energy of formation (eV per atom): -0.72
Symmetry: I-4m2 (119)
Electronic total energy (eV for the cell shown): -25.73

Unit cell a=4.297 b=4.297 c=6.712 alpha=108.67 beta=108.67 gamma=90.00
Fractional coordinates of all 5 atoms:
Sc  0.250  0.750  0.500
Pd  0.382  0.382  0.765
Pd  0.618  0.618  0.235
Al  0.750  0.250  0.500
Sr  0.000  0.000  0.000


13.
Tb2ZnNi4As3 after structural relaxation. Source: the Alexandria database, functional GGA-PBE.

## Properties
Energy of formation (eV per atom): -0.77
Symmetry: P-4m2 (115)
Electronic total energy (eV for the cell shown): -55.31

Unit cell a=4.021 b=4.021 c=9.884 alpha=90.00 beta=90.00 gamma=90.00
Fractional coordinates of all 10 atoms:
Tb  0.000  0.500  0.755
Tb  0.500  0.000  0.245
As  0.000  0.500  0.133
As  0.000  0.000  0.500
As  0.500  0.000  0.867
Ni  0.500  0.000  0.633
Ni  0.500  0.500  0.000
Ni  0.000  0.000  0.000
Ni  0.000  0.500  0.367
Zn  0.500  0.500  0.500


14.
Cr2CdCoPb after structural relaxation. Source: the Alexandria database, functional GGA-PBE.

## Properties
Polymorph energy (0 for the lowest one) (meV per atom): 0.0
Energy of formation (eV per atom): 0.85
Symmetry: P4/mmm (123)
Electronic total energy (eV for the cell shown): -26.74

Unit cell a=4.664 b=4.884 c=4.664 alpha=90.00 beta=90.00 gamma=90.00
Fractional coordinates of all 5 atoms:
Cr  0.500  0.000  0.000
Cr  0.000  0.000  0.500
Cd  0.500  0.500  0.500
Pb  0.000  0.500  0.000
Co  0.000  0.000  0.000


15.
RbCaSe after structural relaxation. Source: the Alexandria database, functional GGA-PBE.

## Properties
E_form (uncorrected) (eV per atom): -1.020
Symmetry: Ima2 (46)
Electronic total energy (eV for the cell shown): -57.08

Unit cell a=6.282 b=11.642 c=11.642 alpha=73.07 beta=74.35 gamma=74.35
Fractional coordinates of all 18 atoms:
Se  0.428  0.662  0.665
Se  0.428  0.165  0.162
Se  0.929  0.412  0.912
Se  0.756  0.835  0.838
Se  0.253  0.588  0.088
Se  0.756  0.338  0.335
Rb  0.111  0.227  0.727
Rb  0.761  0.076  0.576
Rb  0.447  0.394  0.894
Rb  0.735  0.606  0.106
Rb  0.414  0.924  0.424
Rb  0.065  0.773  0.273
Ca  0.917  0.221  0.127
Ca  0.917  0.627  0.721
Ca  0.589  0.500  0.500
Ca  0.265  0.779  0.873
Ca  0.589  0.000  0.000
Ca  0.265  0.373  0.279


16.
Ge2SbSe6 after structural relaxation. Source: the Alexandria database, functional GGA-PBE.

## Properties
E_form (uncorrected) (eV per atom): -0.135
Symmetry: C2/c (15)
Electronic total energy (eV for the cell shown): -70.96

Unit cell a=6.598 b=8.746 c=8.746 alpha=85.75 beta=82.35 gamma=82.35
Fractional coordinates of all 18 atoms:
Se  0.861  0.540  0.722
Se  0.160  0.791  0.980
Se  0.361  0.722  0.540
Se  0.660  0.980  0.791
Se  0.094  0.139  0.606
Se  0.139  0.460  0.278
Se  0.594  0.606  0.139
Se  0.840  0.209  0.020
Se  0.639  0.278  0.460
Se  0.406  0.394  0.861
Se  0.340  0.020  0.209
Se  0.906  0.861  0.394
Ge  0.182  0.614  0.776
Ge  0.818  0.386  0.224
Ge  0.318  0.224  0.386
Ge  0.682  0.776  0.614
Sb  0.750  0.881  0.119
Sb  0.250  0.119  0.881


17.
Pa3Ga2Pd6 after structural relaxation. Source: the Alexandria database, functional GGA-PBE.

## Properties
Energy of formation (eV per atom): -0.59
Symmetry: Im-3m (229)
Electronic total energy (eV for the cell shown): -144.27

Unit cell a=8.093 b=8.093 c=8.093 alpha=109.47 beta=109.47 gamma=109.47
Fractional coordinates of all 22 atoms:
Pd  0.343  0.687  0.343
Pd  0.657  0.313  0.657
Pd  0.687  0.343  0.343
Pd  0.000  0.343  0.657
Pd  0.657  0.657  0.313
Pd  0.313  0.657  0.657
Pd  0.343  0.657  0.000
Pd  0.000  0.657  0.343
Pd  0.657  0.343  0.000
Pd  0.343  0.343  0.687
Pd  0.343  0.000  0.657
Pd  0.657  0.000  0.343
Pa  0.732  0.732  0.000
Pa  0.732  0.000  0.732
Pa  0.000  0.732  0.732
Pa  0.000  0.268  0.268
Pa  0.268  0.000  0.268
Pa  0.268  0.268  0.000
Ga  0.500  0.500  0.500
Ga  0.000  0.000  0.500
Ga  0.000  0.500  0.000
Ga  0.500  0.000  0.000


18.
PrCuPt4 after structural relaxation. Source: the Alexandria database, functional GGA-PBE.

## Properties
Polymorph energy (0 for the lowest one) (meV per atom): 64.1
Energy of formation (eV per atom): -0.54
Symmetry: Pmma (51)
Electronic total energy (eV for the cell shown): -72.57

Unit cell a=4.156 b=6.931 c=7.441 alpha=90.00 beta=90.00 gamma=90.00
Fractional coordinates of all 12 atoms:
Pt  0.500  0.032  0.250
Pt  0.000  0.000  0.000
Pt  0.500  0.310  0.551
Pt  0.000  0.000  0.500
Pt  0.500  0.690  0.449
Pt  0.500  0.968  0.750
Pt  0.500  0.690  0.051
Pt  0.500  0.310  0.949
Pr  0.000  0.641  0.750
Pr  0.000  0.359  0.250
Cu  0.000  0.763  0.250
Cu  0.000  0.237  0.750


19.
Th3CN2 after structural relaxation. Source: the Alexandria database, functional GGA-PBE.

## Properties
Polymorph energy (0 for the lowest one) (meV per atom): 0.0
E_form (uncorrected) (eV per atom): -1.160
Symmetry: C2/m (12)
Electronic total energy (eV for the cell shown): -55.09

Unit cell a=3.714 b=5.232 c=6.430 alpha=114.00 beta=106.87 gamma=90.00
Fractional coordinates of all 6 atoms:
N  0.164  0.665  0.329
N  0.836  0.335  0.671
Th  0.168  0.168  0.335
Th  0.832  0.832  0.665
Th  0.500  0.500  0.000
C  0.500  0.000  0.000


20.
Ba2TlIn3Pd4 after structural relaxation. Source: the Alexandria database, functional GGA-PBE.

## Properties
Energy of formation (eV per atom): -0.56
Symmetry: P-4m2 (115)
Electronic total energy (eV for the cell shown): -40.75

Unit cell a=4.859 b=4.859 c=10.896 alpha=90.00 beta=90.00 gamma=90.00
Fractional coordinates of all 10 atoms:
Ba  0.000  0.500  0.763
Ba  0.500  0.000  0.237
In  0.500  0.000  0.884
In  0.000  0.000  0.500
In  0.000  0.500  0.116
Tl  0.500  0.500  0.500
Pd  0.500  0.000  0.634
Pd  0.500  0.500  0.000
Pd  0.000  0.000  0.000
Pd  0.000  0.500  0.366